<w>
Here is a geometry-optimized Pr3Sm2Tm structure from Alexandria via LeMat-Bulk. Energies are from PBE-GGA.

Cell: 8.0883 8.0883 8.0883 Å, 155.55 101.20 84.00°
Last column: nearest neighbours and their distance in Å.
Fractional coordinates of all 6 atoms:
Pr 0.0000 0.0000 0.0000  4 Pr 3.42-3.43, 2 Tm 3.47, 2 Sm 3.49
Pr 0.3318 0.9988 0.3330  4 Pr 3.42-3.43, 1 Tm 3.44, 3 Sm 3.45
Pr 0.6658 0.9988 0.6670  4 Pr 3.42-3.43, 1 Tm 3.44, 3 Sm 3.45
Sm 0.5793 0.7484 0.8309  1 Tm 3.40, 3 Sm 3.43-3.47, 4 Pr 3.45-3.49
Sm 0.9175 0.7484 0.1691  1 Tm 3.40, 3 Sm 3.43-3.47, 4 Pr 3.45-3.49
Tm 0.2509 0.7509 0.5000  2 Sm 3.40, 2 Tm 3.43, 4 Pr 3.44-3.47

Computed properties:
Magnetization: 0.00 μB per formula unit
Symmetry: Imm2 (44)

---

<x>
Here is a geometry-optimized Pr3Sm2Tm structure from Alexandria via LeMat-Bulk. Energies are from PBE-GGA.

Cell: 6.9520 6.9520 17.8706 Å, 101.92 101.92 29.85°
Last column: nearest neighbours and their distance in Å.
Fractional coordinates of all 12 atoms:
Pr 0.0644 0.0644 0.1692  3 Sm 3.51-3.68, 8 Pr 3.58-3.89, 2 Tm 3.75
Pr 0.2669 0.2669 0.6631  4 Sm 3.39-3.59, 2 Pr 3.58, 3 Tm 3.59-3.64
Pr 0.3737 0.3737 0.0089  7 Pr 3.48-3.85, 3 Sm 3.48-3.62
Pr 0.6263 0.6263 0.9911  7 Pr 3.48-3.85, 3 Sm 3.48-3.62
Pr 0.7331 0.7331 0.3369  4 Sm 3.39-3.59, 2 Pr 3.58, 3 Tm 3.59-3.64
Pr 0.9356 0.9356 0.8308  3 Sm 3.51-3.68, 8 Pr 3.58-3.89, 2 Tm 3.75
Sm 0.1978 0.1978 0.8346  7 Pr 3.39-3.68, 2 Tm 3.56, 2 Sm 3.58
Sm 0.3698 0.3698 0.5010  3 Pr 3.47-3.59, 5 Sm 3.51-3.68, 2 Tm 3.53-3.69
Sm 0.6302 0.6302 0.4990  3 Pr 3.47-3.59, 5 Sm 3.51-3.68, 2 Tm 3.53-3.69
Sm 0.8022 0.8022 0.1654  7 Pr 3.39-3.68, 2 Tm 3.56, 2 Sm 3.58
Tm 0.4582 0.4582 0.3194  4 Sm 3.53-3.69, 2 Tm 3.58, 5 Pr 3.59-3.75
Tm 0.5418 0.5418 0.6806  4 Sm 3.53-3.69, 2 Tm 3.58, 5 Pr 3.59-3.75

Computed properties:
Magnetization: 0.00 μB per formula unit
Symmetry: C2/m (12)

---

Which one sits at the bottom of the stability order? <w> does.

---

<w>
Here is a geometry-optimized Pr4Sm2Tm3 structure from Alexandria via LeMat-Bulk. Energies are from PBE-GGA.

Cell: 6.2572 6.2572 10.8536 Å, 106.42 106.42 48.44°
Last column: nearest neighbours and their distance in Å.
Fractional coordinates of all 9 atoms:
Pr 0.0023 0.0023 0.3342  3 Sm 3.60-3.63, 6 Tm 3.60-3.63, 3 Pr 3.62-3.64
Pr 0.3337 0.3337 0.1121  4 Tm 3.62-3.63, 4 Sm 3.62-3.65, 4 Pr 3.64
Pr 0.6663 0.6663 0.8879  4 Tm 3.62-3.63, 4 Sm 3.62-3.65, 4 Pr 3.64
Pr 0.9977 0.9977 0.6658  3 Sm 3.60-3.63, 6 Tm 3.60-3.63, 3 Pr 3.62-3.64
Sm 0.3319 0.3319 0.7748  5 Tm 3.57-3.65, 7 Pr 3.60-3.65
Sm 0.6681 0.6681 0.2252  5 Tm 3.57-3.65, 7 Pr 3.60-3.65
Tm 0.0000 0.0000 0.0000  8 Pr 3.62, 4 Sm 3.65
Tm 0.3344 0.3344 0.4468  3 Sm 3.57-3.63, 3 Tm 3.59-3.61, 6 Pr 3.60-3.63
Tm 0.6656 0.6656 0.5532  3 Sm 3.57-3.63, 3 Tm 3.59-3.61, 6 Pr 3.60-3.63

Computed properties:
Magnetization: 0.00 μB per formula unit
Symmetry: C2/m (12)

---

<x>
Here is a geometry-optimized Pr4Sm2Tm3 structure from Alexandria via LeMat-Bulk. Energies are from PBE-GGA.

Cell: 10.1101 10.1101 6.2471 Å, 95.09 95.09 71.77°
Last column: nearest neighbours and their distance in Å.
Fractional coordinates of all 18 atoms:
Pr 0.0927 0.8102 0.9862  1 Sm 3.36, 4 Tm 3.48-3.55, 3 Pr 3.50-3.70
Pr 0.1438 0.4267 0.1529  1 Pr 3.34, 4 Tm 3.47-3.54, 3 Sm 3.50-3.68
Pr 0.1898 0.9073 0.5138  1 Sm 3.36, 4 Tm 3.48-3.55, 3 Pr 3.50-3.70
Pr 0.4267 0.1438 0.6529  1 Pr 3.34, 4 Tm 3.47-3.54, 3 Sm 3.50-3.68
Pr 0.5733 0.8562 0.3471  1 Pr 3.34, 4 Tm 3.47-3.54, 3 Sm 3.50-3.68
Pr 0.8102 0.0927 0.4862  1 Sm 3.36, 4 Tm 3.48-3.55, 3 Pr 3.50-3.70
Pr 0.8562 0.5733 0.8471  1 Pr 3.34, 4 Tm 3.47-3.54, 3 Sm 3.50-3.68
Pr 0.9073 0.1898 0.0138  1 Sm 3.36, 4 Tm 3.48-3.55, 3 Pr 3.50-3.70
Sm 0.2443 0.5211 0.6804  4 Pr 3.36-3.68, 4 Tm 3.43-3.54
Sm 0.4789 0.7557 0.8196  4 Pr 3.36-3.68, 4 Tm 3.43-3.54
Sm 0.5211 0.2443 0.1804  4 Pr 3.36-3.68, 4 Tm 3.43-3.54
Sm 0.7557 0.4789 0.3196  4 Pr 3.36-3.68, 4 Tm 3.43-3.54
Tm 0.0653 0.2694 0.5802  7 Pr 3.47-3.87, 2 Sm 3.53-3.54
Tm 0.2694 0.0653 0.0802  7 Pr 3.47-3.87, 2 Sm 3.53-3.54
Tm 0.3992 0.6008 0.2500  4 Sm 3.43-3.50, 4 Pr 3.52-3.54
Tm 0.6008 0.3992 0.7500  4 Sm 3.43-3.50, 4 Pr 3.52-3.54
Tm 0.7306 0.9347 0.9198  7 Pr 3.47-3.87, 2 Sm 3.53-3.54
Tm 0.9347 0.7306 0.4198  7 Pr 3.47-3.87, 2 Sm 3.53-3.54

Computed properties:
Magnetization: 0.00 μB per formula unit
Symmetry: C2/c (15)

---

Which one sits at the bottom of the stability order? <x> does.

---

<w>
Here is a geometry-optimized Pr6SmTm3 structure from Alexandria via LeMat-Bulk. Energies are from PBE-GGA.

Cell: 7.0430 7.0430 7.0430 Å, 90.17 90.17 90.17°
Last column: nearest neighbours and their distance in Å.
Fractional coordinates of all 10 atoms:
Pr 0.0000 0.3306 0.6694  1 Sm 3.30, 2 Tm 3.48
Pr 0.1703 0.8297 0.5000  3 Tm 3.29-3.50
Pr 0.3306 0.6694 0.0000  1 Sm 3.30, 2 Tm 3.48
Pr 0.5000 0.1703 0.8297  3 Tm 3.29-3.50
Pr 0.6694 0.0000 0.3306  1 Sm 3.30, 2 Tm 3.48
Pr 0.8297 0.5000 0.1703  3 Tm 3.29-3.50
Sm 0.0000 0.0000 0.0000  2 Tm 3.08, 3 Pr 3.30
Tm 0.2529 0.2529 0.2529  1 Tm 3.01, 1 Sm 3.08
Tm 0.5000 0.5000 0.5000  2 Tm 3.01, 3 Pr 3.29
Tm 0.7471 0.7471 0.7471  1 Tm 3.01, 1 Sm 3.08

Computed properties:
Magnetization: 0.00 μB per formula unit
Symmetry: R32 (155)

---

<x>
Here is a geometry-optimized Pr6SmTm3 structure from Alexandria via LeMat-Bulk. Energies are from PBE-GGA.

Cell: 6.2282 9.4576 13.2582 Å, 90.00 117.45 90.00°
Last column: nearest neighbours and their distance in Å.
Fractional coordinates of all 20 atoms:
Pr 0.0754 0.1524 0.0806  1 Sm 3.42, 3 Pr 3.45-3.68, 4 Tm 3.47-3.77
Pr 0.0754 0.3476 0.5806  1 Sm 3.42, 3 Pr 3.45-3.68, 4 Tm 3.47-3.77
Pr 0.3797 0.0332 0.7497  2 Tm 3.06-3.31, 1 Sm 3.07
Pr 0.3797 0.4668 0.2497  2 Tm 3.06-3.31, 1 Sm 3.07
Pr 0.4151 0.1574 0.4205  2 Tm 3.37-3.49, 3 Pr 3.52-3.64, 2 Sm 3.54-3.61
Pr 0.4151 0.3426 0.9205  2 Tm 3.37-3.49, 3 Pr 3.52-3.64, 2 Sm 3.54-3.61
Pr 0.5849 0.6574 0.0795  2 Tm 3.37-3.49, 3 Pr 3.52-3.64, 2 Sm 3.54-3.61
Pr 0.5849 0.8426 0.5795  2 Tm 3.37-3.49, 3 Pr 3.52-3.64, 2 Sm 3.54-3.61
Pr 0.6203 0.5332 0.7503  2 Tm 3.06-3.31, 1 Sm 3.07
Pr 0.6203 0.9668 0.2503  2 Tm 3.06-3.31, 1 Sm 3.07
Pr 0.9246 0.6524 0.4194  1 Sm 3.42, 3 Pr 3.45-3.68, 4 Tm 3.47-3.77
Pr 0.9246 0.8476 0.9194  1 Sm 3.42, 3 Pr 3.45-3.68, 4 Tm 3.47-3.77
Sm 0.0000 0.0000 0.5000  4 Pr 3.07-3.42
Sm 0.0000 0.5000 0.0000  4 Pr 3.07-3.42
Tm 0.1371 0.6783 0.7503  5 Pr 3.31-3.68
Tm 0.1371 0.8217 0.2503  5 Pr 3.31-3.68
Tm 0.5000 0.0000 0.0000  4 Pr 3.06-3.37
Tm 0.5000 0.5000 0.5000  4 Pr 3.06-3.37
Tm 0.8629 0.1783 0.7497  5 Pr 3.31-3.68
Tm 0.8629 0.3217 0.2497  5 Pr 3.31-3.68

Computed properties:
Magnetization: 0.00 μB per formula unit
Symmetry: P2_1/c (14)

---

Which one sits at the bottom of the stability order? <w> does.

---

<w>
Here is a geometry-optimized Pr2Sm4Tm structure from Alexandria via LeMat-Bulk. Energies are from PBE-GGA.

Cell: 6.2335 6.6893 11.7341 Å, 90.00 103.68 90.00°
Last column: nearest neighbours and their distance in Å.
Fractional coordinates of all 14 atoms:
Pr 0.1058 0.2500 0.4930  6 Sm 3.37-3.74, 1 Tm 3.47, 2 Pr 3.61
Pr 0.2123 0.2500 0.0759  9 Sm 3.40-3.70
Pr 0.7877 0.7500 0.9241  9 Sm 3.40-3.70
Pr 0.8942 0.7500 0.5070  6 Sm 3.37-3.74, 1 Tm 3.47, 2 Pr 3.61
Sm 0.1483 0.0100 0.7856  4 Sm 3.21-3.53, 1 Tm 3.53, 1 Pr 3.53
Sm 0.1483 0.4900 0.7856  4 Sm 3.21-3.53, 1 Tm 3.53, 1 Pr 3.53
Sm 0.3506 0.7500 0.0513  1 Tm 3.36, 4 Pr 3.40-3.48, 4 Sm 3.53-3.63
Sm 0.4676 0.7500 0.6384  3 Pr 3.37-3.54, 2 Sm 3.41, 3 Tm 3.42-3.51
Sm 0.5324 0.2500 0.3616  3 Pr 3.37-3.54, 2 Sm 3.41, 3 Tm 3.42-3.51
Sm 0.6494 0.2500 0.9487  1 Tm 3.36, 4 Pr 3.40-3.48, 4 Sm 3.53-3.63
Sm 0.8517 0.5100 0.2144  4 Sm 3.21-3.53, 1 Tm 3.53, 1 Pr 3.53
Sm 0.8517 0.9900 0.2144  4 Sm 3.21-3.53, 1 Tm 3.53, 1 Pr 3.53
Tm 0.3566 0.7500 0.3383  6 Sm 3.36-3.53, 1 Pr 3.47
Tm 0.6434 0.2500 0.6617  6 Sm 3.36-3.53, 1 Pr 3.47

Computed properties:
Magnetization: 0.00 μB per formula unit
Symmetry: P2_1/m (11)

---

<x>
Here is a geometry-optimized Pr2Sm4Tm structure from Alexandria via LeMat-Bulk. Energies are from PBE-GGA.

Cell: 6.3622 6.3622 15.5589 Å, 90.00 90.00 129.82°
Last column: nearest neighbours and their distance in Å.
Fractional coordinates of all 14 atoms:
Pr 0.1033 0.8967 0.8442  7 Sm 3.36-3.73
Pr 0.3967 0.6033 0.3442  7 Sm 3.36-3.73
Pr 0.6033 0.3967 0.6558  7 Sm 3.36-3.73
Pr 0.8967 0.1033 0.1558  7 Sm 3.36-3.73
Sm 0.1055 0.8945 0.3064  4 Sm 3.22-3.51, 1 Tm 3.25, 2 Pr 3.36-3.41
Sm 0.2055 0.7945 0.0697  5 Sm 3.51-3.86, 3 Tm 3.56-3.75, 4 Pr 3.70-3.80
Sm 0.2945 0.7055 0.5697  5 Sm 3.51-3.86, 3 Tm 3.56-3.75, 4 Pr 3.70-3.80
Sm 0.3945 0.6055 0.8064  4 Sm 3.22-3.51, 1 Tm 3.25, 2 Pr 3.36-3.41
Sm 0.6055 0.3945 0.1936  4 Sm 3.22-3.51, 1 Tm 3.25, 2 Pr 3.36-3.41
Sm 0.7055 0.2945 0.4303  5 Sm 3.51-3.86, 3 Tm 3.56-3.75, 4 Pr 3.70-3.80
Sm 0.7945 0.2055 0.9303  5 Sm 3.51-3.86, 3 Tm 3.56-3.75, 4 Pr 3.70-3.80
Sm 0.8945 0.1055 0.6936  4 Sm 3.22-3.51, 1 Tm 3.25, 2 Pr 3.36-3.41
Tm 0.0000 0.0000 0.5000  4 Sm 3.25-3.56
Tm 0.5000 0.5000 0.0000  4 Sm 3.25-3.56

Computed properties:
Magnetization: 0.00 μB per formula unit
Symmetry: Cmce (64)

---

Which one sits at the bottom of the stability order? <x> does.

---

<w>
Here is a geometry-optimized Pr2Sm2Tm5 structure from Alexandria via LeMat-Bulk. Energies are from PBE-GGA.

Cell: 10.9157 10.9157 8.2574 Å, 99.71 99.71 18.40°
Last column: nearest neighbours and their distance in Å.
Fractional coordinates of all 9 atoms:
Pr 0.1842 0.1842 0.1421  2 Pr 3.49, 4 Tm 3.50-3.61
Pr 0.8158 0.8158 0.8579  2 Pr 3.49, 4 Tm 3.50-3.61
Sm 0.4538 0.4538 0.6455  5 Tm 3.19-3.54, 3 Sm 3.37-3.49
Sm 0.5462 0.5462 0.3545  5 Tm 3.19-3.54, 3 Sm 3.37-3.49
Tm 0.0000 0.0000 0.0000  4 Tm 3.30-3.49, 4 Sm 3.41
Tm 0.0984 0.0984 0.7348  5 Tm 3.30-3.49, 4 Sm 3.54-3.60, 1 Pr 3.55
Tm 0.3095 0.3095 0.4731  1 Sm 3.19, 6 Tm 3.20-3.49, 1 Pr 3.50
Tm 0.6905 0.6905 0.5269  1 Sm 3.19, 6 Tm 3.20-3.49, 1 Pr 3.50
Tm 0.9016 0.9016 0.2652  5 Tm 3.30-3.49, 4 Sm 3.54-3.60, 1 Pr 3.55

Computed properties:
Magnetization: 0.00 μB per formula unit
Symmetry: C2/m (12)

---

<x>
Here is a geometry-optimized Pr2Sm2Tm5 structure from Alexandria via LeMat-Bulk. Energies are from PBE-GGA.

Cell: 10.1120 10.1120 10.1120 Å, 84.49 108.52 141.11°
Last column: nearest neighbours and their distance in Å.
Fractional coordinates of all 18 atoms:
Pr 0.0056 0.1267 0.1323  4 Tm 3.35-3.63, 2 Sm 3.55-3.56, 1 Pr 3.69
Pr 0.0056 0.3733 0.3789  4 Tm 3.35-3.63, 2 Sm 3.55-3.56, 1 Pr 3.69
Pr 0.9944 0.6267 0.6211  4 Tm 3.35-3.63, 2 Sm 3.55-3.56, 1 Pr 3.69
Pr 0.9944 0.8733 0.8677  4 Tm 3.35-3.63, 2 Sm 3.55-3.56, 1 Pr 3.69
Sm 0.4383 0.6998 0.2385  4 Tm 3.39-3.67, 2 Pr 3.55
Sm 0.4613 0.1998 0.7615  4 Tm 3.39-3.67, 2 Pr 3.55
Sm 0.5519 0.0519 0.5000  4 Tm 3.24-3.58, 2 Pr 3.56
Sm 0.5519 0.5519 0.0000  4 Tm 3.24-3.58, 2 Pr 3.56
Tm 0.1116 0.2979 0.7063  5 Tm 3.20-3.56, 1 Sm 3.24, 1 Pr 3.35
Tm 0.1116 0.9053 0.3137  5 Tm 3.20-3.56, 1 Sm 3.24, 1 Pr 3.35
Tm 0.3958 0.3984 0.4974  6 Tm 3.24-3.56, 1 Sm 3.39, 2 Pr 3.54
Tm 0.4318 0.0245 0.1231  4 Tm 3.20-3.39, 1 Pr 3.40, 2 Sm 3.42-3.58
Tm 0.4318 0.8087 0.9073  4 Tm 3.20-3.39, 1 Pr 3.40, 2 Sm 3.42-3.58
Tm 0.5916 0.4053 0.2937  5 Tm 3.20-3.56, 1 Sm 3.24, 1 Pr 3.35
Tm 0.5916 0.7979 0.6863  5 Tm 3.20-3.56, 1 Sm 3.24, 1 Pr 3.35
Tm 0.9014 0.3087 0.8769  4 Tm 3.20-3.39, 1 Pr 3.40, 2 Sm 3.42-3.58
Tm 0.9014 0.5245 0.0927  4 Tm 3.20-3.39, 1 Pr 3.40, 2 Sm 3.42-3.58
Tm 0.9011 0.8984 0.5026  6 Tm 3.24-3.56, 1 Sm 3.39, 2 Pr 3.54

Computed properties:
Magnetization: 0.00 μB per formula unit
Symmetry: Ima2 (46)

---

Which one sits at the bottom of the stability order? <w> does.